1.
# CsGa3Ir | Alexandria | PBE-GGA | relaxed
data_CsGa3Ir
_cell_length_a 5.685
_cell_length_b 5.685
_cell_length_c 5.685
_cell_angle_alpha 90.00
_cell_angle_beta 90.00
_cell_angle_gamma 90.00
_space_group_name_H-M_alt 'P m -3 m'
_space_group_IT_number 221
_space_group_name_Hall '-P 4 2 3'
loop_
_atom_site_label
_atom_site_type_symbol
_atom_site_fract_x
_atom_site_fract_y
_atom_site_fract_z
Cs1 Cs 0.000 0.000 0.000
Ga1 Ga 0.000 0.000 0.500
Ir1 Ir 0.500 0.500 0.500
# Fermi-level density of states   6.70 states/eV/f.u.
# Energy above the most stable polymorph in this dataset   2390 meV per atom
# Calculated formation energy   2.15 eV/atom


2.
# CsKGa2Ir | Alexandria | PBE-GGA | relaxed
data_CsKGa2Ir
_cell_length_a 4.928
_cell_length_b 4.928
_cell_length_c 6.181
_cell_angle_alpha 90.00
_cell_angle_beta 90.00
_cell_angle_gamma 90.00
_space_group_name_H-M_alt 'P 4/m m m'
_space_group_IT_number 123
_space_group_name_Hall '-P 4 2'
loop_
_atom_site_label
_atom_site_type_symbol
_atom_site_fract_x
_atom_site_fract_y
_atom_site_fract_z
Cs1 Cs 0.000 0.000 0.000
K1 K 0.500 0.500 0.000
Ga1 Ga 0.000 0.500 0.500
Ir1 Ir 0.500 0.500 0.500
# Fermi-level density of states   1.84 states/eV/f.u.
# Calculated formation energy   -0.08 eV/atom


3.
# CsLaGa2Ir | Alexandria | PBE-GGA | relaxed
data_CsLaGa2Ir
_cell_length_a 5.695
_cell_length_b 5.695
_cell_length_c 6.533
_cell_angle_alpha 90.00
_cell_angle_beta 90.00
_cell_angle_gamma 90.00
_space_group_name_H-M_alt 'P 4/m m m'
_space_group_IT_number 123
_space_group_name_Hall '-P 4 2'
loop_
_atom_site_label
_atom_site_type_symbol
_atom_site_fract_x
_atom_site_fract_y
_atom_site_fract_z
Cs1 Cs 0.000 0.000 0.000
La1 La 0.000 0.000 0.500
Ga1 Ga 0.000 0.500 0.500
Ir1 Ir 0.500 0.500 0.000
# Fermi-level density of states   9.59 states/eV/f.u.
# Calculated formation energy   1.60 eV/atom


4.
# CsNaGa2Ir | Alexandria | PBE-GGA | relaxed
data_CsNaGa2Ir
_cell_length_a 4.887
_cell_length_b 4.887
_cell_length_c 5.793
_cell_angle_alpha 90.00
_cell_angle_beta 90.00
_cell_angle_gamma 90.00
_space_group_name_H-M_alt 'P 4/m m m'
_space_group_IT_number 123
_space_group_name_Hall '-P 4 2'
loop_
_atom_site_label
_atom_site_type_symbol
_atom_site_fract_x
_atom_site_fract_y
_atom_site_fract_z
Cs1 Cs 0.000 0.000 0.000
Na1 Na 0.500 0.500 0.000
Ga1 Ga 0.000 0.500 0.500
Ir1 Ir 0.500 0.500 0.500
# Fermi-level density of states   2.30 states/eV/f.u.
# Calculated formation energy   -0.18 eV/atom


5.
# CsGaIrO6 | Alexandria | PBE-GGA | relaxed
data_CsGaIrO6
_cell_length_a 5.2890
_cell_length_b 5.2890
_cell_length_c 6.6307
_cell_angle_alpha 90.00
_cell_angle_beta 90.00
_cell_angle_gamma 120.00
_space_group_name_H-M_alt 'P 3 1 2'
_space_group_IT_number 149
loop_
_space_group_symop_operation_xyz
'x,y,z'
'-y,x-y,z'
'-x+y,-x,z'
'-y,-x,-z'
'-x+y,y,-z'
'x,x-y,-z'
loop_
_atom_site_label
_atom_site_type_symbol
_atom_site_fract_x
_atom_site_fract_y
_atom_site_fract_z
Cs1 Cs 0.0000 0.0000 0.0000
Ga1 Ga 0.3333 0.6667 0.5000
Ir1 Ir 0.6667 0.3333 0.5000
O1 O 0.4147 0.0154 0.6673
# Fermi-level density of states   3.70 states/eV/f.u.
# Formation energy without anion corrections   -23.06 kcal/mol of atoms


6.
# Cs2GaIrO4 | Alexandria | PBE-GGA | relaxed
data_Cs2GaIrO4
_cell_length_a 5.897
_cell_length_b 12.978
_cell_length_c 20.298
_cell_angle_alpha 90.00
_cell_angle_beta 90.00
_cell_angle_gamma 90.00
_space_group_name_H-M_alt 'F d d d'
_space_group_IT_number 70
loop_
_space_group_symop_operation_xyz
'x,y,z'
'-x,-y,-z'
'-x+1/4,-y+1/4,z'
'x+1/4,y+1/4,-z'
'x,-y+1/4,-z+1/4'
'-x,y+1/4,z+1/4'
'-x+1/4,y,-z+1/4'
'x+1/4,-y,z+1/4'
'x,y+1/2,z+1/2'
'-x,-y+1/2,-z+1/2'
'-x+1/4,-y+3/4,z+1/2'
'x+1/4,y+3/4,-z+1/2'
'x,-y+3/4,-z+3/4'
'-x,y+3/4,z+3/4'
'-x+1/4,y+1/2,-z+3/4'
'x+1/4,-y+1/2,z+3/4'
'x+1/2,y,z+1/2'
'-x+1/2,-y,-z+1/2'
'-x+3/4,-y+1/4,z+1/2'
'x+3/4,y+1/4,-z+1/2'
'x+1/2,-y+1/4,-z+3/4'
'-x+1/2,y+1/4,z+3/4'
'-x+3/4,y,-z+3/4'
'x+3/4,-y,z+3/4'
'x+1/2,y+1/2,z'
'-x+1/2,-y+1/2,-z'
'-x+3/4,-y+3/4,z'
'x+3/4,y+3/4,-z'
'x+1/2,-y+3/4,-z+1/4'
'-x+1/2,y+3/4,z+1/4'
'-x+3/4,y+1/2,-z+1/4'
'x+3/4,-y+1/2,z+1/4'
loop_
_atom_site_label
_atom_site_type_symbol
_atom_site_fract_x
_atom_site_fract_y
_atom_site_fract_z
Cs1 Cs 0.125 0.125 0.301
Ga1 Ga 0.125 0.125 0.625
Ir1 Ir 0.125 0.125 0.125
O1 O 0.115 0.297 0.839
# Formation energy without anion corrections   -26.63 kcal/mol of atoms


7.
# CsRb2GaIr | Alexandria | PBE-GGA | relaxed
data_CsRb2GaIr
_cell_length_a 6.595
_cell_length_b 6.595
_cell_length_c 4.932
_cell_angle_alpha 90.00
_cell_angle_beta 90.00
_cell_angle_gamma 90.00
_space_group_name_H-M_alt 'P 4/m m m'
_space_group_IT_number 123
_space_group_name_Hall '-P 4 2'
loop_
_atom_site_label
_atom_site_type_symbol
_atom_site_fract_x
_atom_site_fract_y
_atom_site_fract_z
Cs1 Cs 0.000 0.000 0.000
Rb1 Rb 0.000 0.500 0.500
Ga1 Ga 0.500 0.500 0.000
Ir1 Ir 0.500 0.500 0.500
# Fermi-level density of states   2.22 states/eV/f.u.
# Calculated formation energy   0.29 eV/atom


8.
# CsGaIrS2 | Alexandria | PBE-GGA | relaxed
data_CsGaIrS2
_cell_length_a 4.997
_cell_length_b 4.997
_cell_length_c 4.867
_cell_angle_alpha 90.00
_cell_angle_beta 90.00
_cell_angle_gamma 90.00
_space_group_name_H-M_alt 'P 4/m m m'
_space_group_IT_number 123
_space_group_name_Hall '-P 4 2'
loop_
_atom_site_label
_atom_site_type_symbol
_atom_site_fract_x
_atom_site_fract_y
_atom_site_fract_z
Cs1 Cs 0.000 0.000 0.000
Ga1 Ga 0.500 0.500 0.000
Ir1 Ir 0.500 0.500 0.500
S1 S 0.000 0.500 0.500
# Fermi-level density of states   5.32 states/eV/f.u.
# Formation energy without anion corrections   -2.60 kcal/mol of atoms


9.
# CsSr2GaIr | Alexandria | PBE-GGA | relaxed
data_CsSr2GaIr
_cell_length_a 5.998
_cell_length_b 5.998
_cell_length_c 5.005
_cell_angle_alpha 90.00
_cell_angle_beta 90.00
_cell_angle_gamma 90.00
_space_group_name_H-M_alt 'P 4/m m m'
_space_group_IT_number 123
_space_group_name_Hall '-P 4 2'
loop_
_atom_site_label
_atom_site_type_symbol
_atom_site_fract_x
_atom_site_fract_y
_atom_site_fract_z
Cs1 Cs 0.000 0.000 0.000
Sr1 Sr 0.000 0.500 0.500
Ga1 Ga 0.500 0.500 0.000
Ir1 Ir 0.500 0.500 0.500
# Fermi-level density of states   3.51 states/eV/f.u.
# Calculated formation energy   -0.10 eV/atom


10.
# CsSrGa2Ir | Alexandria | PBE-GGA | relaxed
data_CsSrGa2Ir
_cell_length_a 4.996
_cell_length_b 4.996
_cell_length_c 5.808
_cell_angle_alpha 90.00
_cell_angle_beta 90.00
_cell_angle_gamma 90.00
_space_group_name_H-M_alt 'P 4/m m m'
_space_group_IT_number 123
_space_group_name_Hall '-P 4 2'
loop_
_atom_site_label
_atom_site_type_symbol
_atom_site_fract_x
_atom_site_fract_y
_atom_site_fract_z
Cs1 Cs 0.000 0.000 0.000
Sr1 Sr 0.500 0.500 0.000
Ga1 Ga 0.000 0.500 0.500
Ir1 Ir 0.500 0.500 0.500
# Fermi-level density of states   2.49 states/eV/f.u.
# Calculated formation energy   -0.20 eV/atom


11.
# CsTl2GaIr | Alexandria | PBE-GGA | relaxed
data_CsTl2GaIr
_cell_length_a 5.448
_cell_length_b 5.448
_cell_length_c 4.963
_cell_angle_alpha 90.00
_cell_angle_beta 90.00
_cell_angle_gamma 90.00
_space_group_name_H-M_alt 'P 4/m m m'
_space_group_IT_number 123
_space_group_name_Hall '-P 4 2'
loop_
_atom_site_label
_atom_site_type_symbol
_atom_site_fract_x
_atom_site_fract_y
_atom_site_fract_z
Cs1 Cs 0.000 0.000 0.000
Tl1 Tl 0.000 0.500 0.500
Ga1 Ga 0.500 0.500 0.000
Ir1 Ir 0.500 0.500 0.500
# Fermi-level density of states   3.56 states/eV/f.u.
# Calculated formation energy   -0.03 eV/atom


12.
# CsTlGa2Ir | Alexandria | PBE-GGA | relaxed
data_CsTlGa2Ir
_cell_length_a 4.970
_cell_length_b 4.970
_cell_length_c 5.451
_cell_angle_alpha 90.00
_cell_angle_beta 90.00
_cell_angle_gamma 90.00
_space_group_name_H-M_alt 'P 4/m m m'
_space_group_IT_number 123
_space_group_name_Hall '-P 4 2'
loop_
_atom_site_label
_atom_site_type_symbol
_atom_site_fract_x
_atom_site_fract_y
_atom_site_fract_z
Cs1 Cs 0.000 0.000 0.000
Tl1 Tl 0.500 0.500 0.000
Ga1 Ga 0.000 0.500 0.500
Ir1 Ir 0.500 0.500 0.500
# Fermi-level density of states   3.41 states/eV/f.u.
# Calculated formation energy   -0.12 eV/atom


13.
# Cs2K4Ga | Alexandria | PBE-GGA | relaxed
data_Cs2K4Ga
_cell_length_a 6.845
_cell_length_b 6.845
_cell_length_c 23.184
_cell_angle_alpha 90.00
_cell_angle_beta 90.00
_cell_angle_gamma 90.00
_space_group_name_H-M_alt 'I 4/m m m'
_space_group_IT_number 139
_space_group_name_Hall '-I 4 2'
loop_
_atom_site_label
_atom_site_type_symbol
_atom_site_fract_x
_atom_site_fract_y
_atom_site_fract_z
Cs1 Cs 0.000 0.000 0.149
K1 K 0.000 0.000 0.353
K2 K 0.000 0.500 0.000
Ga1 Ga 0.000 0.000 0.500
# Fermi-level density of states   6.57 states/eV/f.u.
# Calculated formation energy   0.09 eV/atom


14.
# Cs2KGa | Alexandria | PBE-GGA | relaxed
data_Cs2KGa
_cell_length_a 9.835
_cell_length_b 9.835
_cell_length_c 9.835
_cell_angle_alpha 90.00
_cell_angle_beta 90.00
_cell_angle_gamma 90.00
_space_group_name_H-M_alt 'F m -3 m'
_space_group_IT_number 225
_space_group_name_Hall '-F 4 2 3'
loop_
_atom_site_label
_atom_site_type_symbol
_atom_site_fract_x
_atom_site_fract_y
_atom_site_fract_z
Cs1 Cs 0.250 0.250 0.250
K1 K 0.000 0.000 0.000
Ga1 Ga 0.000 0.000 0.500
# Fermi-level density of states   3.29 states/eV/f.u.
# Energy above the most stable polymorph in this dataset   0 meV per atom
# Calculated formation energy   0.21 eV/atom


15.
# CsKGa2 | Alexandria | PBE-GGA | relaxed
data_CsKGa2
_cell_length_a 9.981
_cell_length_b 9.981
_cell_length_c 6.612
_cell_angle_alpha 90.00
_cell_angle_beta 90.00
_cell_angle_gamma 90.00
_space_group_name_H-M_alt 'I -4 2 d'
_space_group_IT_number 122
_space_group_name_Hall 'I -4 2bw'
loop_
_atom_site_label
_atom_site_type_symbol
_atom_site_fract_x
_atom_site_fract_y
_atom_site_fract_z
Cs1 Cs 0.000 0.000 0.000
K1 K 0.000 0.000 0.500
Ga1 Ga 0.236 0.250 0.625
# Fermi-level density of states   3.83 states/eV/f.u.
# Energy above the most stable polymorph in this dataset   461 meV per atom
# Calculated formation energy   0.38 eV/atom


16.
# Cs2KGa2 | Alexandria | PBE-GGA | relaxed
data_Cs2KGa2
_cell_length_a 4.125
_cell_length_b 4.125
_cell_length_c 29.993
_cell_angle_alpha 90.00
_cell_angle_beta 90.00
_cell_angle_gamma 90.00
_space_group_name_H-M_alt 'I 4/m m m'
_space_group_IT_number 139
_space_group_name_Hall '-I 4 2'
loop_
_atom_site_label
_atom_site_type_symbol
_atom_site_fract_x
_atom_site_fract_y
_atom_site_fract_z
Cs1 Cs 0.000 0.000 0.141
K1 K 0.000 0.000 0.500
Ga1 Ga 0.000 0.500 0.250
# Fermi-level density of states   3.35 states/eV/f.u.
# Calculated formation energy   0.12 eV/atom


17.
# CsKGa4 | Alexandria | PBE-GGA | relaxed
data_CsKGa4
_cell_length_a 8.675
_cell_length_b 8.675
_cell_length_c 8.675
_cell_angle_alpha 90.00
_cell_angle_beta 90.00
_cell_angle_gamma 90.00
_space_group_name_H-M_alt 'F -4 3 m'
_space_group_IT_number 216
_space_group_name_Hall 'F -4 2 3'
loop_
_atom_site_label
_atom_site_type_symbol
_atom_site_fract_x
_atom_site_fract_y
_atom_site_fract_z
Cs1 Cs 0.000 0.000 0.000
K1 K 0.250 0.250 0.750
Ga1 Ga 0.124 0.124 0.376
# Fermi-level density of states   5.43 states/eV/f.u.
# Calculated formation energy   0.05 eV/atom


18.
# CsKGa2 | Alexandria | PBE-GGA | relaxed
data_CsKGa2
_cell_length_a 4.529
_cell_length_b 7.850
_cell_length_c 10.518
_cell_angle_alpha 90.00
_cell_angle_beta 102.24
_cell_angle_gamma 90.00
_space_group_name_H-M_alt 'P 1 21/m 1'
_space_group_IT_number 11
loop_
_space_group_symop_operation_xyz
'x,y,z'
'-x,-y,-z'
'-x,y+1/2,-z'
'x,-y+1/2,z'
loop_
_atom_site_label
_atom_site_type_symbol
_atom_site_fract_x
_atom_site_fract_y
_atom_site_fract_z
Cs1 Cs 0.108 0.250 0.216
K1 K 0.364 0.250 0.731
Ga1 Ga 0.250 0.584 0.500
# Fermi-level density of states   2.61 states/eV/f.u.
# Energy above the most stable polymorph in this dataset   0 meV per atom
# Calculated formation energy   -0.08 eV/atom


19.
# CsK3Ga | Alexandria | PBE-GGA | relaxed
data_CsK3Ga
_cell_length_a 7.705
_cell_length_b 7.705
_cell_length_c 7.705
_cell_angle_alpha 90.00
_cell_angle_beta 90.00
_cell_angle_gamma 90.00
_space_group_name_H-M_alt 'P m -3 m'
_space_group_IT_number 221
_space_group_name_Hall '-P 4 2 3'
loop_
_atom_site_label
_atom_site_type_symbol
_atom_site_fract_x
_atom_site_fract_y
_atom_site_fract_z
Cs1 Cs 0.000 0.000 0.000
K1 K 0.000 0.000 0.500
Ga1 Ga 0.500 0.500 0.500
# Fermi-level density of states   6.48 states/eV/f.u.
# Energy above the most stable polymorph in this dataset   559 meV per atom
# Calculated formation energy   0.66 eV/atom


20.
# Cs6K8Ga | Alexandria | PBE-GGA | relaxed
data_Cs6K8Ga
_cell_length_a 11.9872
_cell_length_b 11.9872
_cell_length_c 29.1977
_cell_angle_alpha 90.00
_cell_angle_beta 90.00
_cell_angle_gamma 120.00
_space_group_name_H-M_alt 'R -3'
_space_group_IT_number 148
_space_group_name_Hall '-R 3'
loop_
_atom_site_label
_atom_site_type_symbol
_atom_site_fract_x
_atom_site_fract_y
_atom_site_fract_z
Cs1 Cs 0.0519 0.6048 0.3726
K1 K 0.0000 0.0000 0.4275
K2 K 0.0711 0.2462 0.1367
Ga1 Ga 0.0000 0.0000 0.0000
# Fermi-level density of states   13.86 states/eV/f.u.
# Calculated formation energy   0.07 eV/atom